(1)
A plane-wave DFT calculation with PBE-GGA was carried out for CuIr2Se after structural relaxation.

Lattice parameters (Å, degrees): 5.4574 5.4574 5.4574 149.63 131.96 57.90
Element x y z (fractional)
1 Cu 0.0000 0.0000 0.0000
2 Ir 0.2668 0.7668 0.5000
3 Ir 0.5106 0.5106 0.0000
4 Se 0.7263 0.2263 0.5000

As for the total DFT energy (no corrections): -5.9381 eV per atom. As for the symmetry: Imm2. The calculation puts the magnetization at 0.000 μB/atom. The value obtained for the density of states at the Fermi level is 3.143 states/eV per cell. The value obtained for the raw formation energy is 0.388 eV per atom.



(2)
A plane-wave DFT calculation with PBE-GGA was carried out for AcSmTeP after structural relaxation.

Lattice parameters (Å, degrees): 8.1258 8.1258 8.1258 30.72 30.72 30.72
Element x y z (fractional)
1 Ac 0.0000 0.0000 0.0000
2 Sm 0.1923 0.1923 0.1923
3 Te 0.4345 0.4345 0.4345
4 P 0.5916 0.5916 0.5916

As for the total DFT energy (no corrections): -5.8422 eV per atom. As for the symmetry: R3m. The calculation puts the magnetization at 0.000 μB/atom. The value obtained for the density of states at the Fermi level is 2.741 states/eV per cell. The value obtained for the raw formation energy is -1.497 eV per atom.



(3)
A plane-wave DFT calculation with PBE-GGA was carried out for PmEr4Cd5 after structural relaxation.

Lattice parameters (Å, degrees): 3.7249 3.7249 18.8013 90.00 90.00 90.00
Element x y z (fractional)
1 Pm 0.0000 0.0000 0.0000
2 Er 0.0000 0.0000 0.2047
3 Er 0.0000 0.0000 0.4018
4 Er 0.0000 0.0000 0.5982
5 Er 0.0000 0.0000 0.7953
6 Cd 0.5000 0.5000 0.1084
7 Cd 0.5000 0.5000 0.3030
8 Cd 0.5000 0.5000 0.5000
9 Cd 0.5000 0.5000 0.6970
10 Cd 0.5000 0.5000 0.8916

As for the total DFT energy (no corrections): -3.0723 eV per atom. As for the symmetry: P4/mmm. The calculation puts the magnetization at 0.047 μB/atom. The value obtained for the density of states at the Fermi level is 10.010 states/eV per cell. As for the formation energy: -0.3145 eV/atom.



(4)
A plane-wave DFT calculation with PBE-GGA was carried out for Ca2Sn3Pd after structural relaxation.

Lattice parameters (Å, degrees): 6.0538 6.0538 7.6764 127.70 127.70 47.83
Element x y z (fractional)
1 Ca 0.0000 0.0000 0.0000
2 Ca 0.1017 0.1017 0.5977
3 Sn 0.3799 0.3799 0.1903
4 Sn 0.4233 0.4233 0.6472
5 Sn 0.7221 0.7221 0.3870
6 Pd 0.7383 0.7383 0.0409

As for the total DFT energy (no corrections): -4.1512 eV per atom. As for the symmetry: Cm. The calculation puts the magnetization at 0.000 μB/atom. The value obtained for the density of states at the Fermi level is 2.674 states/eV per cell. As for the formation energy: -0.6171 eV/atom.



(5)
A plane-wave DFT calculation with PBE-GGA was carried out for Tb2ErTaN4 after structural relaxation.

Lattice parameters (Å, degrees): 5.8094 3.3432 5.8346 90.00 109.06 90.00
Element x y z (fractional)
1 Tb 0.0000 0.0000 0.0000
2 Tb 0.5000 0.5000 0.0000
3 Er 0.0000 0.5000 0.5000
4 Ta 0.5000 0.0000 0.5000
5 N 0.2628 0.0000 0.7298
6 N 0.2722 0.5000 0.2758
7 N 0.7278 0.5000 0.7242
8 N 0.7372 0.0000 0.2702

As for the total DFT energy (no corrections): -8.9213 eV per atom. As for the symmetry: P2/m. The calculation puts the magnetization at 0.000 μB/atom. The value obtained for the density of states at the Fermi level is 1.893 states/eV per cell. The value obtained for the raw formation energy is -1.549 eV per atom.



(6)
A plane-wave DFT calculation with PBE-GGA was carried out for TcTeI2F after structural relaxation.

Lattice parameters (Å, degrees): 5.4576 5.4576 5.0944 90.00 90.00 90.00
Element x y z (fractional)
1 Tc 0.0000 0.0000 0.0000
2 Te 0.0000 0.0000 0.5000
3 I 0.0000 0.5000 0.0000
4 I 0.5000 0.0000 0.0000
5 F 0.5000 0.5000 0.5000

As for the total DFT energy (no corrections): -3.4802 eV per atom. As for the symmetry: P4/mmm. The calculation puts the magnetization at 0.268 μB/atom. The value obtained for the density of states at the Fermi level is 6.692 states/eV per cell. The value obtained for the raw formation energy is 0.216 eV per atom.



(7)
A plane-wave DFT calculation with PBE-GGA was carried out for NbAgHg2 after structural relaxation.

Lattice parameters (Å, degrees): 11.1186 11.1186 11.1186 15.44 15.44 15.44
Element x y z (fractional)
1 Nb 0.0000 0.0000 0.0000
2 Ag 0.5000 0.5000 0.5000
3 Hg 0.0893 0.0893 0.0893
4 Hg 0.9107 0.9107 0.9107

As for the total DFT energy (no corrections): -2.9269 eV per atom. As for the symmetry: R-3m. The calculation puts the magnetization at 0.000 μB/atom. The value obtained for the density of states at the Fermi level is 3.387 states/eV per cell. As for the formation energy: 0.4543 eV/atom.



(8)
A plane-wave DFT calculation with PBE-GGA was carried out for Rb2PmThTe4 after structural relaxation.

Lattice parameters (Å, degrees): 7.9030 4.5586 9.0637 90.00 106.80 90.00
Element x y z (fractional)
1 Rb 0.0000 0.0000 0.0000
2 Rb 0.5000 0.5000 0.0000
3 Pm 0.0000 0.5000 0.5000
4 Th 0.5000 0.0000 0.5000
5 Te 0.2379 0.0000 0.7071
6 Te 0.2653 0.5000 0.2918
7 Te 0.7347 0.5000 0.7082
8 Te 0.7621 0.0000 0.2929

As for the total DFT energy (no corrections): -4.6173 eV per atom. As for the symmetry: P2/m. The calculation puts the magnetization at 0.000 μB/atom. The value obtained for the density of states at the Fermi level is 4.382 states/eV per cell. The value obtained for the raw formation energy is -1.283 eV per atom.



(9)
A plane-wave DFT calculation with PBE-GGA was carried out for Rb2PuI2F4 after structural relaxation.

Lattice parameters (Å, degrees): 7.3973 7.3973 7.3973 119.33 119.33 91.16
Element x y z (fractional)
1 Rb 0.2500 0.7500 0.5000
2 Rb 0.7500 0.2500 0.5000
3 Pu 0.0000 0.0000 0.0000
4 I 0.2970 0.2970 0.0000
5 I 0.7030 0.7030 0.0000
6 F 0.1999 0.1999 0.3997
7 F 0.1999 0.8001 0.0000
8 F 0.8001 0.1999 0.0000
9 F 0.8001 0.8001 0.6003

As for the total DFT energy (no corrections): -5.4863 eV per atom. As for the symmetry: I4/mmm. The calculation puts the magnetization at 0.444 μB/atom. The value obtained for the density of states at the Fermi level is 3.820 states/eV per cell. The value obtained for the raw formation energy is -2.503 eV per atom.



(10)
A plane-wave DFT calculation with PBE-GGA was carried out for AlZnTc after structural relaxation.

Lattice parameters (Å, degrees): 7.3749 7.3749 2.7287 90.00 90.00 120.00
Element x y z (fractional)
1 Al 0.0000 0.0000 0.0000
2 Al 0.3333 0.6667 0.5000
3 Al 0.6667 0.3333 0.5000
4 Zn 0.0000 0.3067 0.5000
5 Zn 0.3067 0.0000 0.5000
6 Zn 0.6933 0.6933 0.5000
7 Tc 0.0000 0.6444 0.0000
8 Tc 0.3556 0.3556 0.0000
9 Tc 0.6444 0.0000 0.0000

As for the total DFT energy (no corrections): -5.2758 eV per atom. As for the symmetry: P-62m. The calculation puts the magnetization at 0.000 μB/atom. The value obtained for the density of states at the Fermi level is 3.510 states/eV per cell. As for the formation energy: -0.1483 eV/atom.



(11)
A plane-wave DFT calculation with PBE-GGA was carried out for TaV2B6 after structural relaxation.

Lattice parameters (Å, degrees): 5.2613 5.2613 3.1493 90.00 90.00 120.00
Element x y z (fractional)
1 Ta 0.0000 0.0000 0.0000
2 V 0.3333 0.6667 0.0000
3 V 0.6667 0.3333 0.0000
4 B 0.0000 0.3374 0.5000
5 B 0.0000 0.6626 0.5000
6 B 0.3374 0.0000 0.5000
7 B 0.3374 0.3374 0.5000
8 B 0.6626 0.0000 0.5000
9 B 0.6626 0.6626 0.5000

As for the total DFT energy (no corrections): -8.4886 eV per atom. As for the symmetry: P6/mmm. The calculation puts the magnetization at 0.000 μB/atom. The value obtained for the density of states at the Fermi level is 4.208 states/eV per cell. As for the formation energy: -0.6937 eV/atom.



(12)
A plane-wave DFT calculation with PBE-GGA was carried out for Ac2YGeO6 after structural relaxation.

Lattice parameters (Å, degrees): 5.9609 5.9609 6.0031 119.35 119.35 59.66
Element x y z (fractional)
1 Ac 0.2475 0.2475 0.2291
2 Ac 0.7525 0.7525 0.7709
3 Y 0.0000 0.0000 0.5000
4 Ge 0.5000 0.5000 0.0000
5 O 0.1928 0.6816 0.1771
6 O 0.2575 0.2575 0.6504
7 O 0.3184 0.8072 0.8229
8 O 0.6816 0.1928 0.1771
9 O 0.7425 0.7425 0.3496
10 O 0.8072 0.3184 0.8229

As for the total DFT energy (no corrections): -7.6831 eV per atom. As for the symmetry: C2/m. The calculation puts the magnetization at 0.000 μB/atom. The value obtained for the density of states at the Fermi level is 3.816 states/eV per cell. The value obtained for the raw formation energy is -2.778 eV per atom.



Q: magnetization of number 6 (TcTeI2F)?
A: 0.268 μB/atom



Q: Which formula does entry 3 have?
A: PmEr4Cd5



Q: Which value of total DFT energy (no corrections) does entry 2 give?
A: -5.8422 eV per atom



Q: What is the total DFT energy (no corrections) in the tenth record?
A: -5.2758 eV per atom